No. 1
Below is Ac4H2N3 after structural relaxation, with properties calculated at the PBE level.

abc: 3.8426 6.8182 8.1969
angles: 82.73 76.44 73.63
Element x y z (fractional)
N (0.7912, 0.5953, 0.8224)
N (0.0000, 0.0000, 0.0000)
N (0.2088, 0.4047, 0.1776)
H (0.6508, 0.0818, 0.6165)
H (0.3492, 0.9182, 0.3835)
Ac (0.7634, 0.1804, 0.2928)
Ac (0.2366, 0.8196, 0.7072)
Ac (0.5868, 0.7115, 0.1148)
Ac (0.4132, 0.2885, 0.8852)

Results
Space-group type = C2/m (12)
Crystal system = monoclinic
VASP energy = -55.602 eV per cell



No. 2
Below is NaAcHN after structural relaxation, with properties calculated at the PBE level.

abc: 4.4207 4.4207 4.4207
angles: 60.00 60.00 60.00
Element x y z (fractional)
N (0.7500, 0.7500, 0.7500)
H (0.2500, 0.2500, 0.2500)
Ac (0.0000, 0.0000, 0.0000)
Na (0.5000, 0.5000, 0.5000)

Results
Space-group type = F-43m (216)
Crystal system = cubic
VASP energy = -18.922 eV per cell



No. 3
Below is Ac2NbHN3 after structural relaxation, with properties calculated at the PBE level.

abc: 3.8578 4.2111 7.3313
angles: 106.69 105.25 90.00
Element x y z (fractional)
N (0.8424, 0.8424, 0.6848)
N (0.0000, 0.5000, 0.0000)
N (0.1576, 0.1576, 0.3152)
Ac (0.3533, 0.3533, 0.7065)
Ac (0.6467, 0.6467, 0.2935)
H (0.5000, 0.0000, 0.0000)
Nb (0.0000, 0.0000, 0.0000)

Results
Space-group type = Immm (71)
Crystal system = orthorhombic
VASP energy = -53.660 eV per cell



No. 4
Below is Ac2PaH3N3 after structural relaxation, with properties calculated at the PBE level.

abc: 3.7787 6.2175 6.2175
angles: 120.00 90.00 90.00
Element x y z (fractional)
Pa (0.0000, 0.0000, 0.0000)
H (0.5000, 0.2185, 0.2185)
H (0.5000, 0.7815, 0.0000)
H (0.5000, 0.0000, 0.7815)
Ac (0.5000, 0.6667, 0.3333)
Ac (0.5000, 0.3333, 0.6667)
N (0.0000, 0.6476, 0.6476)
N (0.0000, 0.0000, 0.3524)
N (0.0000, 0.3524, 0.0000)

Results
Space-group type = P-62m (189)
Crystal system = hexagonal
VASP energy = -60.415 eV per cell



No. 5
Below is AcPaHN2 after structural relaxation, with properties calculated at the PBE level.

abc: 3.6088 3.6088 11.9822
angles: 90.00 90.00 90.00
Element x y z (fractional)
Pa (0.0000, 0.5000, 0.8941)
Pa (0.5000, 0.0000, 0.1059)
N (0.0000, 0.5000, 0.7193)
N (0.0000, 0.5000, 0.1038)
N (0.5000, 0.0000, 0.2807)
N (0.5000, 0.0000, 0.8962)
Ac (0.0000, 0.5000, 0.3517)
Ac (0.5000, 0.0000, 0.6483)
H (0.5000, 0.5000, 0.5000)
H (0.0000, 0.0000, 0.5000)

Results
Space-group type = P4/nmm (129)
Crystal system = tetragonal
VASP energy = -79.594 eV per cell



No. 6
Below is Ac4HPb2N2 after structural relaxation, with properties calculated at the PBE level.

abc: 4.2398 8.2322 7.8680
angles: 105.13 105.63 90.00
Element x y z (fractional)
Ac (0.2164, 0.1653, 0.4328)
Ac (0.4802, 0.2062, 0.9604)
Ac (0.7836, 0.8347, 0.5672)
Ac (0.5198, 0.7938, 0.0396)
Pb (0.1115, 0.5305, 0.2230)
Pb (0.8885, 0.4695, 0.7770)
N (0.3366, 0.9953, 0.6731)
N (0.6634, 0.0047, 0.3269)
H (0.0000, 0.0000, 0.0000)

Results
Space-group type = C2/m (12)
Crystal system = monoclinic
VASP energy = -51.130 eV per cell



No. 7
Below is AcHRhN after structural relaxation, with properties calculated at the PBE level.

abc: 3.8762 4.0278 3.8325
angles: 90.00 90.00 90.00
Element x y z (fractional)
Ac (0.5000, 0.5000, 0.5000)
Rh (0.0000, 0.0000, 0.0000)
N (0.0000, 0.5000, 0.0000)
H (0.0000, 0.0000, 0.5000)

Results
Space-group type = Pmmm (47)
Crystal system = orthorhombic
VASP energy = -25.660 eV per cell



No. 8
Below is Ac2HRuN3 after structural relaxation, with properties calculated at the PBE level.

abc: 3.8114 3.8872 7.4248
angles: 105.18 104.87 90.00
Element x y z (fractional)
H (0.5000, 0.0000, 0.0000)
N (0.1637, 0.1637, 0.3273)
N (0.0000, 0.5000, 0.0000)
N (0.8363, 0.8363, 0.6726)
Ac (0.6497, 0.6497, 0.2994)
Ac (0.3503, 0.3503, 0.7006)
Ru (0.0000, 0.0000, 0.0000)

Results
Space-group type = Immm (71)
Crystal system = orthorhombic
VASP energy = -50.833 eV per cell



No. 9
Below is AcH6S2N2 after structural relaxation, with properties calculated at the PBE level.

abc: 5.6853 7.8249 7.8302
angles: 145.00 90.03 68.67
Element x y z (fractional)
H (0.9851, 0.3196, 0.1858)
H (0.2531, 0.4928, 0.4986)
H (0.6928, 0.3220, 0.1882)
H (0.0149, 0.6804, 0.8142)
H (0.3072, 0.6780, 0.8118)
H (0.7469, 0.5072, 0.5014)
N (0.7599, 0.4801, 0.3484)
N (0.2401, 0.5199, 0.6516)
S (0.8232, 0.3536, 0.7142)
S (0.1768, 0.6464, 0.2858)
Ac (0.5000, 0.0000, 0.5000)

Results
Space-group type = P-1 (2)
Crystal system = triclinic
VASP energy = -56.489 eV per cell



No. 10
Below is Ac2TaHN3 after structural relaxation, with properties calculated at the PBE level.

abc: 3.8518 4.1927 7.3261
angles: 106.63 105.24 90.00
Element x y z (fractional)
H (0.5000, 0.0000, 0.0000)
Ac (0.3525, 0.3525, 0.7051)
Ac (0.6475, 0.6475, 0.2949)
N (0.8439, 0.8439, 0.6879)
N (0.1561, 0.1561, 0.3121)
N (0.0000, 0.5000, 0.0000)
Ta (0.0000, 0.0000, 0.0000)

Results
Space-group type = Immm (71)
Crystal system = orthorhombic
VASP energy = -55.794 eV per cell



No. 11
Below is AcTcHN2 after structural relaxation, with properties calculated at the PBE level.

abc: 3.8143 4.0451 4.0451
angles: 90.00 90.00 90.00
Element x y z (fractional)
H (0.5000, 0.0000, 0.0000)
Ac (0.5000, 0.5000, 0.5000)
Tc (0.0000, 0.0000, 0.0000)
N (0.0000, 0.5000, 0.0000)
N (0.0000, 0.0000, 0.5000)

Results
Space-group type = P4/mmm (123)
Crystal system = tetragonal
VASP energy = -37.840 eV per cell



No. 12
Below is Ac2TeHN after structural relaxation, with properties calculated at the PBE level.

abc: 4.1897 4.1897 7.5763
angles: 106.05 106.05 90.00
Element x y z (fractional)
Ac (0.3479, 0.3479, 0.6958)
Ac (0.6521, 0.6521, 0.3042)
N (0.7500, 0.2500, 0.5000)
H (0.2500, 0.7500, 0.5000)
Te (0.0000, 0.0000, 0.0000)

Results
Space-group type = I-4m2 (119)
Crystal system = tetragonal
VASP energy = -29.467 eV per cell



Q: Which value of VASP energy does entry 7 give?
A: -25.660 eV per cell



Q: The highest VASP energy belongs to which entry?
A: NaAcHN



Q: VASP energy of number 1 (Ac4H2N3)?
A: -55.602 eV per cell



Q: What is the VASP energy in the second record?
A: -18.922 eV per cell